A.
The following is a DFT calculation (GGA-PBE) of a relaxed In2MoOs crystal.

Geometry as CIF:
```
data_In2MoOs
_chemical_formula_sum 'In4 Mo2 Os2'
_symmetry_space_group_name_H-M 'A m m 2'
_symmetry_Int_Tables_number 38
_cell_length_a 3.013
_cell_length_b 3.039
_cell_length_c 16.826
_cell_angle_alpha 90.00
_cell_angle_beta 90.00
_cell_angle_gamma 90.00
loop_
_symmetry_equiv_pos_as_xyz
'x,y,z'
'-x,-y,z'
'-x,y,z'
'x,-y,z'
'x,y+1/2,z+1/2'
'-x,-y+1/2,z+1/2'
'-x,y+1/2,z+1/2'
'x,-y+1/2,z+1/2'
loop_
_atom_site_label
_atom_site_type_symbol
_atom_site_fract_x
_atom_site_fract_y
_atom_site_fract_z
In1 In 0.000 0.000 0.000
In2 In 0.500 0.000 0.166
Mo1 Mo 0.000 0.000 0.791
Os1 Os 0.500 0.000 0.380
```

Results
**Calculated density**: 11.120 g cm⁻³
**Total moment**: 0.00 μB/f.u.


B.
The following is a DFT calculation (GGA-PBE) of a relaxed In2MoOs crystal.

Geometry as CIF:
```
data_In2MoOs
_chemical_formula_sum 'In4 Mo2 Os2'
_symmetry_space_group_name_H-M 'I 4/m m m'
_symmetry_Int_Tables_number 139
_symmetry_space_group_name_Hall '-I 4 2'
_cell_length_a 4.090
_cell_length_b 4.090
_cell_length_c 8.557
_cell_angle_alpha 90.00
_cell_angle_beta 90.00
_cell_angle_gamma 90.00
loop_
_atom_site_label
_atom_site_type_symbol
_atom_site_fract_x
_atom_site_fract_y
_atom_site_fract_z
In1 In 0.000 0.500 0.250
Mo1 Mo 0.000 0.000 0.000
Os1 Os 0.000 0.000 0.500
```

Results
**Calculated density**: 11.967 g cm⁻³
**Total moment**: 0.00 μB/f.u.


Ranking the structures above by energy, A is first and the second is 502 meV per atom behind.